# 1
# Tb4ZnPd3 GGA-PBE relaxed
# Energy of formation in eV per atom: -0.76
# Density in g cm⁻³: 9.22
data_Tb4ZnPd3
_chemical_formula_sum 'Tb4 Zn1 Pd3'
_cell_length_a 3.756
_cell_length_b 4.569
_cell_length_c 10.710
_cell_angle_alpha 90.00
_cell_angle_beta 90.00
_cell_angle_gamma 90.00
_space_group_name_H-M_alt 'P 1'
_space_group_IT_number 1
loop_
_space_group_symop_operation_xyz
'x,y,z'
loop_
_atom_site_label
_atom_site_type_symbol
_atom_site_fract_x
_atom_site_fract_y
_atom_site_fract_z
_atom_site_occupancy
Zn1 Zn 0.500 0.500 0.077 1
Tb1 Tb 0.500 0.000 0.637 1
Tb2 Tb 0.000 0.000 0.141 1
Tb3 Tb 0.500 0.500 0.366 1
Tb4 Tb 0.000 0.500 0.854 1
Pd1 Pd 0.000 0.000 0.415 1
Pd2 Pd 0.500 0.000 0.924 1
Pd3 Pd 0.000 0.500 0.586 1

---

# 2
# LiCr2Os GGA-PBE relaxed
# Energy of formation in eV per atom: 0.22
# Density in g cm⁻³: 10.00
data_LiCr2Os
_chemical_formula_sum 'Li1 Cr2 Os1'
_cell_length_a 4.134
_cell_length_b 4.134
_cell_length_c 4.134
_cell_angle_alpha 119.95
_cell_angle_beta 119.95
_cell_angle_gamma 90.08
_space_group_name_H-M_alt 'P 1'
_space_group_IT_number 1
loop_
_space_group_symop_operation_xyz
'x,y,z'
loop_
_atom_site_label
_atom_site_type_symbol
_atom_site_fract_x
_atom_site_fract_y
_atom_site_fract_z
_atom_site_occupancy
Cr1 Cr 0.250 0.750 0.500 1
Cr2 Cr 0.000 0.000 0.000 1
Os1 Os 0.750 0.250 0.500 1
Li1 Li 0.500 0.500 0.000 1

---

# 3
# LuCo2 GGA-PBE relaxed
# Energy of formation in eV per atom: -0.29
# Density in g cm⁻³: 10.99
data_LuCo2
_chemical_formula_sum 'Lu2 Co4'
_cell_length_a 5.002
_cell_length_b 5.002
_cell_length_c 5.002
_cell_angle_alpha 60.00
_cell_angle_beta 60.00
_cell_angle_gamma 60.00
_space_group_name_H-M_alt 'P 1'
_space_group_IT_number 1
loop_
_space_group_symop_operation_xyz
'x,y,z'
loop_
_atom_site_label
_atom_site_type_symbol
_atom_site_fract_x
_atom_site_fract_y
_atom_site_fract_z
_atom_site_occupancy
Co1 Co 0.125 0.125 0.125 1
Co2 Co 0.125 0.625 0.125 1
Co3 Co 0.625 0.125 0.125 1
Co4 Co 0.125 0.125 0.625 1
Lu1 Lu 0.500 0.500 0.500 1
Lu2 Lu 0.750 0.750 0.750 1

---

# 4
# ZnNi7Sb2 GGA-PBE relaxed
# ΔE_f (raw) in eV/atom: -0.08
# Density in g cm⁻³: 8.47
data_ZnNi7Sb2
_chemical_formula_sum 'Zn1 Ni7 Sb2'
_cell_length_a 3.604
_cell_length_b 3.604
_cell_length_c 11.156
_cell_angle_alpha 99.29
_cell_angle_beta 99.29
_cell_angle_gamma 90.00
_space_group_name_H-M_alt 'P 1'
_space_group_IT_number 1
loop_
_space_group_symop_operation_xyz
'x,y,z'
loop_
_atom_site_label
_atom_site_type_symbol
_atom_site_fract_x
_atom_site_fract_y
_atom_site_fract_z
_atom_site_occupancy
Sb1 Sb 0.666 0.666 0.331 1
Sb2 Sb 0.334 0.334 0.669 1
Ni1 Ni 0.500 0.500 0.000 1
Ni2 Ni 0.081 0.581 0.163 1
Ni3 Ni 0.581 0.081 0.163 1
Ni4 Ni 0.419 0.919 0.837 1
Ni5 Ni 0.919 0.419 0.837 1
Ni6 Ni 0.750 0.250 0.500 1
Ni7 Ni 0.250 0.750 0.500 1
Zn1 Zn 0.000 0.000 0.000 1

---

# 5
# ZrRu2 GGA-PBE relaxed
# Energy of formation in eV per atom: 0.10
# Density in g cm⁻³: 9.80
data_ZrRu2
_chemical_formula_sum 'Zr2 Ru4'
_cell_length_a 8.000
_cell_length_b 8.000
_cell_length_c 4.444
_cell_angle_alpha 90.00
_cell_angle_beta 90.00
_cell_angle_gamma 159.54
_space_group_name_H-M_alt 'P 1'
_space_group_IT_number 1
loop_
_space_group_symop_operation_xyz
'x,y,z'
loop_
_atom_site_label
_atom_site_type_symbol
_atom_site_fract_x
_atom_site_fract_y
_atom_site_fract_z
_atom_site_occupancy
Ru1 Ru 0.957 0.043 0.750 1
Ru2 Ru 0.601 0.399 0.750 1
Ru3 Ru 0.043 0.957 0.250 1
Ru4 Ru 0.399 0.601 0.250 1
Zr1 Zr 0.703 0.297 0.250 1
Zr2 Zr 0.297 0.703 0.750 1

---

# 6
# Ag2Bi2Au GGA-PBE relaxed
# Energy of formation in eV per atom: 0.17
# Offset from the most stable computed form in kJ/mol of formula units: 28
# Density in g cm⁻³: 10.80
data_Ag2Bi2Au
_chemical_formula_sum 'Ag4 Bi4 Au2'
_cell_length_a 7.794
_cell_length_b 7.794
_cell_length_c 4.204
_cell_angle_alpha 90.00
_cell_angle_beta 90.00
_cell_angle_gamma 90.00
_space_group_name_H-M_alt 'P 1'
_space_group_IT_number 1
loop_
_space_group_symop_operation_xyz
'x,y,z'
loop_
_atom_site_label
_atom_site_type_symbol
_atom_site_fract_x
_atom_site_fract_y
_atom_site_fract_z
_atom_site_occupancy
Bi1 Bi 0.832 0.668 0.000 1
Bi2 Bi 0.332 0.832 0.000 1
Bi3 Bi 0.168 0.332 0.000 1
Bi4 Bi 0.668 0.168 0.000 1
Ag1 Ag 0.368 0.132 0.500 1
Ag2 Ag 0.632 0.868 0.500 1
Ag3 Ag 0.868 0.368 0.500 1
Ag4 Ag 0.132 0.632 0.500 1
Au1 Au 0.500 0.500 0.000 1
Au2 Au 0.000 0.000 0.000 1

---

# 7
# TbSmAg2 GGA-PBE relaxed
# Energy of formation in eV per atom: -0.30
# Density in g cm⁻³: 8.74
data_TbSmAg2
_chemical_formula_sum 'Tb1 Sm1 Ag2'
_cell_length_a 3.665
_cell_length_b 3.665
_cell_length_c 7.423
_cell_angle_alpha 90.00
_cell_angle_beta 90.00
_cell_angle_gamma 90.00
_space_group_name_H-M_alt 'P 1'
_space_group_IT_number 1
loop_
_space_group_symop_operation_xyz
'x,y,z'
loop_
_atom_site_label
_atom_site_type_symbol
_atom_site_fract_x
_atom_site_fract_y
_atom_site_fract_z
_atom_site_occupancy
Tb1 Tb 0.500 0.500 0.000 1
Ag1 Ag 0.000 0.000 0.760 1
Ag2 Ag 0.000 0.000 0.240 1
Sm1 Sm 0.500 0.500 0.500 1

---

# 8
# Tc2BSbH GGA-PBE relaxed
# Density in g cm⁻³: 8.79
data_Tc2BSbH
_chemical_formula_sum 'Tc2 B1 Sb1 H1'
_cell_length_a 3.937
_cell_length_b 4.019
_cell_length_c 3.937
_cell_angle_alpha 90.00
_cell_angle_beta 90.00
_cell_angle_gamma 90.00
_space_group_name_H-M_alt 'P 1'
_space_group_IT_number 1
loop_
_space_group_symop_operation_xyz
'x,y,z'
loop_
_atom_site_label
_atom_site_type_symbol
_atom_site_fract_x
_atom_site_fract_y
_atom_site_fract_z
_atom_site_occupancy
B1 B 0.500 0.500 0.500 1
H1 H 0.000 0.000 0.000 1
Tc1 Tc 0.000 0.000 0.500 1
Tc2 Tc 0.500 0.000 0.000 1
Sb1 Sb 0.000 0.500 0.000 1

---

# 9
# Tb4CdTe3 GGA-PBE relaxed
# ΔE_f (raw) in eV/atom: -1.04
# Density in g cm⁻³: 7.94
data_Tb4CdTe3
_chemical_formula_sum 'Tb4 Cd1 Te3'
_cell_length_a 4.252
_cell_length_b 7.648
_cell_length_c 7.648
_cell_angle_alpha 108.01
_cell_angle_beta 90.00
_cell_angle_gamma 90.00
_space_group_name_H-M_alt 'P 1'
_space_group_IT_number 1
loop_
_space_group_symop_operation_xyz
'x,y,z'
loop_
_atom_site_label
_atom_site_type_symbol
_atom_site_fract_x
_atom_site_fract_y
_atom_site_fract_z
_atom_site_occupancy
Tb1 Tb 0.000 0.243 0.243 1
Tb2 Tb 0.500 0.245 0.755 1
Tb3 Tb 0.000 0.757 0.757 1
Tb4 Tb 0.500 0.755 0.245 1
Te1 Te 0.000 0.000 0.500 1
Te2 Te 0.000 0.500 0.000 1
Te3 Te 0.500 0.500 0.500 1
Cd1 Cd 0.500 0.000 0.000 1

---

# 10
# KMnAuSe2 GGA-PBE relaxed
# ΔE_f (raw) in eV/atom: -0.62
# Density in g cm⁻³: 5.37
data_KMnAuSe2
_chemical_formula_sum 'K2 Mn2 Au2 Se4'
_cell_length_a 5.671
_cell_length_b 7.364
_cell_length_c 6.898
_cell_angle_alpha 105.56
_cell_angle_beta 90.00
_cell_angle_gamma 90.00
_space_group_name_H-M_alt 'P 1'
_space_group_IT_number 1
loop_
_space_group_symop_operation_xyz
'x,y,z'
loop_
_atom_site_label
_atom_site_type_symbol
_atom_site_fract_x
_atom_site_fract_y
_atom_site_fract_z
_atom_site_occupancy
K1 K 0.194 0.500 0.750 1
K2 K 0.806 0.500 0.250 1
Au1 Au 0.000 0.000 0.500 1
Au2 Au 0.000 0.000 0.000 1
Mn1 Mn 0.493 0.000 0.250 1
Mn2 Mn 0.507 0.000 0.750 1
Se1 Se 0.317 0.235 0.064 1
Se2 Se 0.683 0.235 0.564 1
Se3 Se 0.317 0.765 0.436 1
Se4 Se 0.683 0.765 0.936 1

---

# 11
# Te2IrOsI GGA-PBE relaxed
# ΔE_f (raw) in eV/atom: 2.59
# Offset from the most stable computed form in kJ/mol of formula units: 507
# Density in g cm⁻³: 7.97
data_Te2IrOsI
_chemical_formula_sum 'Te2 Ir1 Os1 I1'
_cell_length_a 5.724
_cell_length_b 4.864
_cell_length_c 5.724
_cell_angle_alpha 90.00
_cell_angle_beta 90.00
_cell_angle_gamma 90.00
_space_group_name_H-M_alt 'P 1'
_space_group_IT_number 1
loop_
_space_group_symop_operation_xyz
'x,y,z'
loop_
_atom_site_label
_atom_site_type_symbol
_atom_site_fract_x
_atom_site_fract_y
_atom_site_fract_z
_atom_site_occupancy
I1 I 0.000 0.000 0.000 1
Ir1 Ir 0.500 0.500 0.500 1
Te1 Te 0.000 0.000 0.500 1
Te2 Te 0.500 0.000 0.000 1
Os1 Os 0.000 0.500 0.000 1

---

# 12
# AcCe5 GGA-PBE relaxed
# Energy of formation in eV per atom: 0.11
# Density in g cm⁻³: 8.85
data_AcCe5
_chemical_formula_sum 'Ac1 Ce5'
_cell_length_a 4.861
_cell_length_b 4.884
_cell_length_c 7.725
_cell_angle_alpha 108.43
_cell_angle_beta 90.00
_cell_angle_gamma 90.00
_space_group_name_H-M_alt 'P 1'
_space_group_IT_number 1
loop_
_space_group_symop_operation_xyz
'x,y,z'
loop_
_atom_site_label
_atom_site_type_symbol
_atom_site_fract_x
_atom_site_fract_y
_atom_site_fract_z
_atom_site_occupancy
Ce1 Ce 0.500 0.171 0.343 1
Ce2 Ce 0.000 0.671 0.342 1
Ce3 Ce 0.000 0.329 0.658 1
Ce4 Ce 0.500 0.829 0.657 1
Ce5 Ce 0.500 0.500 0.000 1
Ac1 Ac 0.000 0.000 0.000 1

---

Number 1: uncorrected energy -41.47 eV/cell. Number 2: uncorrected energy -31.52 eV/cell. Number 3: uncorrected energy -39.21 eV/cell. Number 4: uncorrected energy -50.81 eV/cell. Number 5: uncorrected energy -53.61 eV/cell. Number 6: uncorrected energy -31.83 eV/cell. Number 7: uncorrected energy -16.24 eV/cell. Number 8: uncorrected energy -29.54 eV/cell. Number 9: uncorrected energy -37.22 eV/cell. Number 10: uncorrected energy -47.20 eV/cell. Number 11: uncorrected energy -14.98 eV/cell. Number 12: uncorrected energy -33.12 eV/cell.